[1]
! GGA-PBE SrLi2Si, relaxed; values from VASP
&SYSTEM
  ibrav = 0, nat = 8, ntyp = 3
/
ATOMIC_SPECIES
Li 6.94 Li.upf
Sr 87.62 Sr.upf
Si 28.09 Si.upf
CELL_PARAMETERS angstrom
-1.0515 -4.6621 -0.9578
2.9898 0.1162 -3.8478
7.6400 -4.8266 2.7035
ATOMIC_POSITIONS angstrom
Li 3.3864 -2.8732 -2.0863
Li 1.8874 -2.9495 -0.1661
Li 6.6844 -7.6264 -1.2228
Li 7.1985 -5.2958 -0.7289
Sr 0.0000 0.0000 0.0000
Sr 3.7788 -5.8808 -0.3285
Si 0.9691 -2.2730 -2.4028
Si 5.7995 -3.4917 -1.7735
! - space-group type = I-42d
! - N(E_F) (states/eV per cell) = 2.55
! - formation energy without anion corrections (eV per atom) = -0.0442

=====

[2]
! GGA-PBE NdTh3Tl4, relaxed; values from VASP
&SYSTEM
  ibrav = 0, nat = 16, ntyp = 3
/
ATOMIC_SPECIES
Th 232.04 Th.upf
Tl 204.38 Tl.upf
Nd 144.24 Nd.upf
CELL_PARAMETERS angstrom
6.8661 0.0000 0.0000
0.0000 6.9451 0.0000
0.0000 0.0000 9.9060
ATOMIC_POSITIONS angstrom
Th 0.4424 5.3110 7.4292
Th 3.8755 1.6342 7.4298
Th 3.8755 1.6342 2.4762
Th 0.4424 5.3110 2.4768
Th 2.1575 0.0006 4.9530
Th 5.5906 6.9445 0.0000
Tl 2.1601 3.4730 0.0000
Tl 2.1571 0.0012 0.0000
Tl 0.4422 1.7969 7.4291
Tl 5.5902 6.9439 4.9530
Tl 3.8752 5.1482 2.4761
Tl 3.8752 5.1482 7.4298
Tl 5.5932 3.4721 4.9530
Tl 0.4422 1.7969 2.4768
Nd 2.1602 3.4729 4.9530
Nd 5.5933 3.4723 0.0000
! - excess energy over the best structure of this formula in the dataset (eV/atom) = 0.051
! - space-group type = Pmna
! - DFT formation energy (eV/atom) = -0.1134
! - N(E_F) (states/eV per cell) = 17.40

=====

[3]
! GGA-PBE Mn2P2Pd, relaxed; values from VASP
&SYSTEM
  ibrav = 0, nat = 10, ntyp = 3
/
ATOMIC_SPECIES
Mn 54.94 Mn.upf
P 30.97 P.upf
Pd 106.42 Pd.upf
CELL_PARAMETERS angstrom
6.5654 0.0000 0.0000
0.0000 6.5654 0.0000
0.0000 0.0000 2.9044
ATOMIC_POSITIONS angstrom
Mn 2.3718 0.9109 1.4522
Mn 4.1936 5.6545 1.4522
Mn 0.9109 4.1936 1.4522
Mn 5.6545 2.3718 1.4522
P 4.2590 0.9763 0.0000
P 5.5891 4.2590 0.0000
P 2.3064 5.5891 0.0000
P 0.9763 2.3064 0.0000
Pd 3.2827 3.2827 0.0000
Pd 0.0000 0.0000 0.0000
! - space-group type = P4/mbm
! - DFT formation energy (eV/atom) = -0.3475
! - N(E_F) (states/eV per cell) = 5.23

=====

[4]
! GGA-PBE LaCo2, relaxed; values from VASP
&SYSTEM
  ibrav = 0, nat = 6, ntyp = 2
/
ATOMIC_SPECIES
Co 58.93 Co.upf
La 138.91 La.upf
CELL_PARAMETERS angstrom
-2.4016 2.4016 4.6136
2.4016 -2.4016 4.6136
2.4016 2.4016 -4.6136
ATOMIC_POSITIONS angstrom
Co 0.8494 1.5521 4.6136
Co 1.5521 0.8494 0.0000
Co 1.5521 -0.8494 4.6136
Co 0.8494 3.2510 0.0000
La 0.0000 0.0000 6.9204
La 0.0000 0.0000 2.3068
! - space-group type = I4/mcm
! - DFT formation energy (eV/atom) = 0.1063
! - N(E_F) (states/eV per cell) = 9.12

=====

[5]
! GGA-PBE Ta2Ti3, relaxed; values from VASP
&SYSTEM
  ibrav = 0, nat = 10, ntyp = 2
/
ATOMIC_SPECIES
Ta 180.95 Ta.upf
Ti 47.87 Ti.upf
CELL_PARAMETERS angstrom
4.7477 0.0000 1.9055
2.3739 7.0873 0.9527
0.5616 0.0000 5.4682
ATOMIC_POSITIONS angstrom
Ta 6.8750 6.3863 5.4678
Ta 4.8422 2.8426 7.0990
Ta 2.1875 0.7010 3.4122
Ta 1.8465 4.2447 0.8283
Ti 4.6168 2.1297 4.3212
Ti 2.5238 1.4139 6.1026
Ti 4.2302 5.6734 1.8509
Ti 2.2045 3.5437 3.5062
Ti 4.5110 4.9576 4.5850
Ti 4.2976 0.0000 1.7248
! - excess energy over the best structure of this formula in the dataset (eV/atom) = 0.000
! - space-group type = Fdd2
! - DFT formation energy (eV/atom) = 0.1310
! - N(E_F) (states/eV per cell) = 16.79

=====

[6]
! GGA-PBE AlVNi2, relaxed; values from VASP
&SYSTEM
  ibrav = 0, nat = 4, ntyp = 3
/
ATOMIC_SPECIES
Ni 58.69 Ni.upf
Al 26.98 Al.upf
V 50.94 V.upf
CELL_PARAMETERS angstrom
2.6729 0.0000 0.0000
0.0000 2.6729 0.0000
0.0000 0.0000 6.7387
ATOMIC_POSITIONS angstrom
Ni 1.3364 1.3364 1.6165
Ni 1.3364 1.3364 5.1222
Al 0.0000 0.0000 0.0000
V 0.0000 0.0000 3.3693
! - space-group type = P4/mmm
! - DFT formation energy (eV/atom) = -0.3849
! - N(E_F) (states/eV per cell) = 3.15

=====

> Look up the N(E_F) of the first one.

2.55 states/eV per cell